[1]
{
  "formula": "SrNiW2",
  "functional": "GGA-PBE",
  "state": "optimized geometry",
  "spacegroup": "Imm2",
  "magnetic_moment_mub_per_cell": 0.0,
  "mass_density_g_cm3": 10.73,
  "formation_enthalpy_0k_mev_per_atom": 1026,
  "dos_ef_per_ev_atom": 0.564,
  "relative_energy_ev_per_atom": 0.457,
  "dft_energy_ev_per_atom": -7.32,
  "lattice": [[-4.217, -3.086, -2.114], [-2.568, -3.118, 3.932], [1.251, 5.140, -1.949]],
  "species": ["Sr", "W", "Ni", "W"],
  "fractional_positions": [[0.259, 0.759, 0.500], [0.958, 0.958, 0.000], [0.535, 0.535, 0.000], [0.748, 0.248, 0.500]]
}

[2]
{
  "formula": "NaZnGa2Rh",
  "functional": "GGA-PBE",
  "state": "optimized geometry",
  "spacegroup": "P4/mmm",
  "magnetic_moment_mub_per_cell": 0.0,
  "mass_density_g_cm3": 4.92,
  "formation_enthalpy_0k_mev_per_atom": -248,
  "dos_ef_per_ev_atom": 0.385,
  "dft_energy_ev_per_atom": -3.45,
  "lattice": [[4.766, 0.000, 0.000], [0.000, 4.766, 0.000], [0.000, 0.000, 4.918]],
  "species": ["Zn", "Rh", "Ga", "Na", "Ga"],
  "fractional_positions": [[0.000, 0.000, 0.500], [0.000, 0.000, 0.000], [0.500, 0.000, 0.000], [0.500, 0.500, 0.500], [0.000, 0.500, 0.000]]
}

[3]
{
  "formula": "CuTcCl4",
  "functional": "GGA-PBE",
  "state": "optimized geometry",
  "spacegroup": "F-43m",
  "magnetic_moment_mub_per_cell": 6.4,
  "mass_density_g_cm3": 3.64,
  "dos_ef_per_ev_atom": 0.830,
  "relative_energy_ev_per_atom": 1.596,
  "dft_energy_ev_per_atom": -2.48,
  "formation_energy_uncorrected_ev_per_atom": 1.166,
  "lattice": [[4.796, -0.267, 3.257], [0.117, -3.371, 4.723], [3.216, -4.831, 0.039]],
  "species": ["Cl", "Tc", "Cu", "Cl", "Cl", "Cl"],
  "fractional_positions": [[0.375, 0.375, 0.874], [0.000, 0.000, 0.000], [0.750, 0.750, 0.750], [0.375, 0.874, 0.375], [0.874, 0.375, 0.375], [0.375, 0.375, 0.375]]
}

[4]
{
  "formula": "ScHgI3",
  "functional": "GGA-PBE",
  "state": "optimized geometry",
  "spacegroup": "P1",
  "magnetic_moment_mub_per_cell": 0.0,
  "mass_density_g_cm3": 4.38,
  "dos_ef_per_ev_atom": 0.000,
  "relative_energy_ev_per_atom": 0.000,
  "dft_energy_ev_per_atom": -3.23,
  "formation_energy_uncorrected_ev_per_atom": -0.972,
  "lattice": [[10.589, 0.052, -0.158], [-0.922, 7.254, -0.010], [1.854, -3.412, 6.162]],
  "species": ["I", "Hg", "I", "Sc", "Sc", "Hg", "I", "I", "I", "I"],
  "fractional_positions": [[0.204, 0.487, 0.251], [0.541, 0.853, 0.179], [0.875, 0.486, 0.720], [0.040, 0.798, 0.641], [0.040, 0.464, 0.975], [0.540, 0.099, 0.790], [0.202, 0.132, 0.604], [0.204, 0.775, 0.895], [0.877, 0.130, 0.012], [0.875, 0.774, 0.365]]
}

[5]
{
  "formula": "BeTe2Mo",
  "functional": "GGA-PBE",
  "state": "optimized geometry",
  "spacegroup": "Pm",
  "magnetic_moment_mub_per_cell": 0.0,
  "mass_density_g_cm3": 7.78,
  "dos_ef_per_ev_atom": 0.300,
  "dft_energy_ev_per_atom": -4.99,
  "formation_energy_uncorrected_ev_per_atom": 0.224,
  "lattice": [[4.380, 0.000, 0.000], [0.000, 3.652, -0.006], [0.000, 1.823, 4.805]],
  "species": ["Be", "Mo", "Te", "Te"],
  "fractional_positions": [[0.000, 0.692, 0.490], [0.500, 0.561, 0.756], [0.500, 0.270, 0.335], [0.000, 0.977, 0.918]]
}

[6]
{
  "formula": "NaErAlHg",
  "functional": "GGA-PBE",
  "state": "optimized geometry",
  "spacegroup": "F-43m",
  "magnetic_moment_mub_per_cell": 0.0,
  "mass_density_g_cm3": 7.39,
  "formation_enthalpy_0k_mev_per_atom": -166,
  "dos_ef_per_ev_atom": 0.588,
  "dft_energy_ev_per_atom": -2.65,
  "lattice": [[-2.504, 4.446, 0.023], [-4.311, 0.486, 2.685], [-0.068, 2.868, 4.219]],
  "species": ["Al", "Er", "Na", "Hg"],
  "fractional_positions": [[0.750, 0.750, 0.750], [0.500, 0.500, 0.500], [0.000, 0.000, 0.000], [0.250, 0.250, 0.250]]
}